Entry 1:
First-principles (PBE) data for an optimized crystal structure of Eu2TmGa, as listed in the Alexandria database.

Lattice parameters (Å, degrees): 4.7682 4.7682 5.0403 90.00 90.00 90.00
Closest atoms and distances in Å follow each position.
Positions (direct):
Eu1 0.0000 0.5000 0.0000  4 Eu 3.37, 4 Ga 3.47, 4 Tm 3.47
Eu2 0.5000 0.0000 0.0000  4 Eu 3.37, 4 Ga 3.47, 4 Tm 3.47
Tm1 0.0000 0.0000 0.5000  4 Ga 3.37, 8 Eu 3.47
Ga1 0.5000 0.5000 0.5000  4 Tm 3.37, 8 Eu 3.47

Computed properties:
- Fermi-level density of states: 0.8463 states/eV/atom
- Total magnetic moment: 3.57 μB per atom
- Symmetry: P4/mmm, No. 123
- Energy relative to the elements: -0.5 eV/f.u.

=====

Entry 2:
First-principles (PBE) data for an optimized crystal structure of Eu2TmGa, as listed in the Alexandria database.

Lattice parameters (Å, degrees): 3.7069 3.7069 8.9938 90.00 90.00 90.00
Closest atoms and distances in Å follow each position.
Positions (direct):
Eu1 0.0000 0.0000 0.2059  4 Ga 3.21
Eu2 0.0000 0.0000 0.7941  4 Ga 3.21
Tm1 0.5000 0.5000 0.5000  4 Tm 3.71, 8 Eu 3.72
Ga1 0.5000 0.5000 0.0000  8 Eu 3.21

Computed properties:
- Fermi-level density of states: 0.9435 states/eV/atom
- Total magnetic moment: 3.80 μB per atom
- Symmetry: P4/mmm, No. 123
- Energy relative to the elements: -0.6 eV/f.u.

=====

Entry 3:
First-principles (PBE) data for an optimized crystal structure of EuTmGa2, as listed in the Alexandria database.

Lattice parameters (Å, degrees): 3.6476 3.6476 7.2401 90.00 90.00 90.00
Closest atoms and distances in Å follow each position.
Positions (direct):
Eu1 0.0000 0.0000 0.0000  8 Ga 3.27, 2 Tm 3.62, 4 Eu 3.65
Tm1 0.0000 0.0000 0.5000  8 Ga 3.04
Ga1 0.5000 0.5000 0.2777  4 Tm 3.04, 1 Ga 3.22, 4 Eu 3.27
Ga2 0.5000 0.5000 0.7223  4 Tm 3.04, 1 Ga 3.22, 4 Eu 3.27

Computed properties:
- Fermi-level density of states: 1.1371 states/eV/atom
- Total magnetic moment: 1.80 μB per atom
- Symmetry: P4/mmm, No. 123
- Energy relative to the elements: -2.1 eV/f.u.

=====

Entry 4:
First-principles (PBE) data for an optimized crystal structure of Eu2TmGa, as listed in the Alexandria database.

Lattice parameters (Å, degrees): 12.4305 12.4305 12.4305 16.63 16.63 16.63
Closest atoms and distances in Å follow each position.
Positions (direct):
Eu1 0.0851 0.0851 0.0851  1 Ga 3.13
Eu2 0.9149 0.9149 0.9149  1 Ga 3.13
Tm1 0.5000 0.5000 0.5000  6 Tm 3.60, 6 Eu 3.65
Ga1 0.0000 0.0000 0.0000  2 Eu 3.13

Computed properties:
- Fermi-level density of states: 1.2010 states/eV/atom
- Total magnetic moment: 3.87 μB per atom
- Symmetry: R-3m, No. 166
- Energy relative to the elements: 0.9 eV/f.u.

=====

Entry 5:
First-principles (PBE) data for an optimized crystal structure of EuUGa4, as listed in the Alexandria database.

Lattice parameters (Å, degrees): 5.5687 5.5687 5.5687 60.00 60.00 60.00
Closest atoms and distances in Å follow each position.
Positions (direct):
Eu1 0.0000 0.0000 0.0000  12 Ga 3.27, 4 U 3.41
U1 0.7500 0.7500 0.7500  12 Ga 3.26, 4 Eu 3.41
Ga1 0.3756 0.3756 0.3756  6 Ga 2.77-2.80
Ga2 0.3756 0.3756 0.8731  6 Ga 2.77-2.80
Ga3 0.3756 0.8731 0.3756  6 Ga 2.77-2.80
Ga4 0.8731 0.3756 0.3756  6 Ga 2.77-2.80

Computed properties:
- Fermi-level density of states: 1.5981 states/eV/atom
- Total magnetic moment: 1.63 μB per atom
- Symmetry: F-43m, No. 216
- Energy relative to the elements: -1.4 eV/f.u.

=====

Entry 6:
First-principles (PBE) data for an optimized crystal structure of EuVGa3, as listed in the Alexandria database.

Lattice parameters (Å, degrees): 4.8062 4.8062 4.8062 90.00 90.00 90.00
Closest atoms and distances in Å follow each position.
Positions (direct):
Eu1 0.0000 0.0000 0.0000  12 Ga 3.40
V1 0.5000 0.5000 0.5000  6 Ga 2.40
Ga1 0.0000 0.5000 0.5000  2 V 2.40
Ga2 0.5000 0.0000 0.5000  2 V 2.40
Ga3 0.5000 0.5000 0.0000  2 V 2.40

Computed properties:
- Fermi-level density of states: 2.4588 states/eV/atom
- Total magnetic moment: 1.39 μB per atom
- Symmetry: Pm-3m, No. 221
- Energy relative to the elements: -1.0 eV/f.u.

=====

Entry 7:
First-principles (PBE) data for an optimized crystal structure of EuVGa2, as listed in the Alexandria database.

Lattice parameters (Å, degrees): 8.7293 8.7293 8.7293 22.26 22.26 22.26
Closest atoms and distances in Å follow each position.
Positions (direct):
Eu1 0.0000 0.0000 0.0000  6 Ga 3.15, 6 Eu 3.37
V1 0.5000 0.5000 0.5000  6 Ga 2.64
Ga1 0.2365 0.2365 0.2365  3 V 2.64
Ga2 0.7635 0.7635 0.7635  3 V 2.64

Computed properties:
- Fermi-level density of states: 0.7211 states/eV/atom
- Total magnetic moment: 1.39 μB per atom
- Symmetry: R-3m, No. 166
- Energy relative to the elements: 0.3 eV/f.u.

=====

Entry 8:
First-principles (PBE) data for an optimized crystal structure of EuYZnGa, as listed in the Alexandria database.

Lattice parameters (Å, degrees): 5.1778 5.1778 5.1778 60.00 60.00 60.00
Closest atoms and distances in Å follow each position.
Positions (direct):
Eu1 0.0000 0.0000 0.0000  4 Zn 3.17, 4 Ga 3.17
Y1 0.5000 0.5000 0.5000  4 Zn 3.17, 4 Ga 3.17
Zn1 0.2500 0.2500 0.2500  4 Y 3.17, 4 Eu 3.17
Ga1 0.7500 0.7500 0.7500  4 Eu 3.17, 4 Y 3.17

Computed properties:
- Fermi-level density of states: 1.0543 states/eV/atom
- Total magnetic moment: 1.82 μB per atom
- Symmetry: F-43m, No. 216
- Energy relative to the elements: -1.6 eV/f.u.

=====

Entry 9:
First-principles (PBE) data for an optimized crystal structure of Eu2ZnGa, as listed in the Alexandria database.

Lattice parameters (Å, degrees): 5.3201 5.3201 3.7486 90.00 90.00 90.00
Closest atoms and distances in Å follow each position.
Positions (direct):
Eu1 0.0000 0.5000 0.0000  4 Zn 3.25, 4 Ga 3.25
Eu2 0.5000 0.0000 0.0000  4 Zn 3.25, 4 Ga 3.25
Zn1 0.0000 0.0000 0.5000  8 Eu 3.25
Ga1 0.5000 0.5000 0.5000  8 Eu 3.25

Computed properties:
- Fermi-level density of states: 2.3112 states/eV/atom
- Total magnetic moment: 3.52 μB per atom
- Symmetry: P4/mmm, No. 123
- Energy relative to the elements: -1.5 eV/f.u.

=====

Entry 10:
First-principles (PBE) data for an optimized crystal structure of Eu2ZnGa, as listed in the Alexandria database.

Lattice parameters (Å, degrees): 5.3047 5.3047 5.3047 60.00 60.00 60.00
Closest atoms and distances in Å follow each position.
Positions (direct):
Eu1 0.2500 0.2500 0.2500  4 Zn 3.25, 4 Ga 3.25
Eu2 0.7500 0.7500 0.7500  4 Ga 3.25, 4 Zn 3.25
Zn1 0.0000 0.0000 0.0000  8 Eu 3.25
Ga1 0.5000 0.5000 0.5000  8 Eu 3.25

Computed properties:
- Fermi-level density of states: 1.2484 states/eV/atom
- Total magnetic moment: 3.47 μB per atom
- Symmetry: Fm-3m, No. 225
- Energy relative to the elements: -1.5 eV/f.u.

=====

Entry 11:
First-principles (PBE) data for an optimized crystal structure of Eu2ZnGa, as listed in the Alexandria database.

Lattice parameters (Å, degrees): 9.5414 9.5414 9.5414 23.17 23.17 23.17
Closest atoms and distances in Å follow each position.
Positions (direct):
Eu1 0.2492 0.2492 0.2492  3 Ga 3.19, 3 Zn 3.22
Eu2 0.7508 0.7508 0.7508  3 Ga 3.19, 3 Zn 3.22
Zn1 0.0000 0.0000 0.0000  6 Eu 3.22
Ga1 0.5000 0.5000 0.5000  6 Eu 3.19

Computed properties:
- Fermi-level density of states: 3.0750 states/eV/atom
- Total magnetic moment: 3.77 μB per atom
- Symmetry: R-3m, No. 166
- Energy relative to the elements: -0.6 eV/f.u.

=====

Entry 12:
First-principles (PBE) data for an optimized crystal structure of EuZnGa4, as listed in the Alexandria database.

Lattice parameters (Å, degrees): 5.5944 5.5944 5.5944 60.00 60.00 60.00
Closest atoms and distances in Å follow each position.
Positions (direct):
Eu1 0.0000 0.0000 0.0000  12 Ga 3.28, 4 Zn 3.43
Zn1 0.7500 0.7500 0.7500  12 Ga 3.28, 4 Eu 3.43
Ga1 0.3753 0.3753 0.3753  6 Ga 2.79-2.80
Ga2 0.3753 0.3753 0.8741  6 Ga 2.79-2.80
Ga3 0.3753 0.8741 0.3753  6 Ga 2.79-2.80
Ga4 0.8741 0.3753 0.3753  6 Ga 2.79-2.80

Computed properties:
- Fermi-level density of states: 0.4122 states/eV/atom
- Total magnetic moment: 1.21 μB per atom
- Symmetry: F-43m, No. 216
- Energy relative to the elements: -1.1 eV/f.u.